{
  "formula": "ReNiIr2",
  "functional": "GGA-PBEsol",
  "state": "optimized geometry",
  "lattice_angstrom": [[1.347, 0.778, 8.563], [-1.347, 0.778, 8.563], [0.000, -1.556, 8.563]],
  "species": ["Re", "Ni", "Ir", "Ir"],
  "frac_coords": [[0.000, 0.000, 0.000], [0.500, 0.500, 0.500], [0.248, 0.248, 0.248], [0.752, 0.752, 0.752]],
  "e_form_kj_per_mol_atoms": -5.1,
  "n_ef_per_ev_cell": 4.0,
  "energy_ev_per_atom": -9.837
}